# 1
Compound: Tb4Dy9Y11
Source: the Alexandria database
Functional: GGA-PBE
Structure: relaxed

Calculated values
uncorrected energy: -5.41 eV/atom
energy of formation: 0.05 eV per atom
space group: Cmmm (65)

Lattice parameters (Å, degrees): 3.6866 15.0933 15.0933 112.91 90.00 90.00
Closest atoms and distances in Å follow each position.
Atoms (fractional coordinates):
Tb 0.5000 0.5539 0.7556  6 Y 3.26-3.38, 3 Dy 3.46-3.62
Tb 0.5000 0.4461 0.2444  6 Y 3.26-3.38, 3 Dy 3.46-3.62
Tb 0.5000 0.7556 0.5539  6 Y 3.26-3.38, 3 Dy 3.46-3.62
Tb 0.5000 0.2444 0.4461  6 Y 3.26-3.38, 3 Dy 3.46-3.62
Dy 0.5000 0.6322 0.1642  3 Dy 3.40-3.69, 1 Tb 3.46, 8 Y 3.50-3.67
Dy 0.5000 0.3678 0.8358  3 Dy 3.40-3.69, 1 Tb 3.46, 8 Y 3.50-3.67
Dy 0.5000 0.1642 0.6322  3 Dy 3.40-3.69, 1 Tb 3.46, 8 Y 3.50-3.67
Dy 0.5000 0.8358 0.3678  3 Dy 3.40-3.69, 1 Tb 3.46, 8 Y 3.50-3.67
Dy 0.5000 0.7862 0.9311  1 Tb 3.48, 8 Y 3.50-3.71, 3 Dy 3.65-3.69
Dy 0.5000 0.2138 0.0689  1 Tb 3.48, 8 Y 3.50-3.71, 3 Dy 3.65-3.69
Dy 0.5000 0.9311 0.7862  1 Tb 3.48, 8 Y 3.50-3.71, 3 Dy 3.65-3.69
Dy 0.5000 0.0689 0.2138  1 Tb 3.48, 8 Y 3.50-3.71, 3 Dy 3.65-3.69
Dy 0.5000 0.5000 0.5000  4 Tb 3.62, 2 Dy 3.69, 8 Y 3.82-3.93
Y 0.0000 0.5934 0.9551  2 Tb 3.38, 6 Dy 3.50-3.67, 3 Y 3.57-3.69
Y 0.0000 0.4066 0.0449  2 Tb 3.38, 6 Dy 3.50-3.67, 3 Y 3.57-3.69
Y 0.0000 0.9551 0.5934  2 Tb 3.38, 6 Dy 3.50-3.67, 3 Y 3.57-3.69
Y 0.0000 0.0449 0.4066  2 Tb 3.38, 6 Dy 3.50-3.67, 3 Y 3.57-3.69
Y 0.0000 0.6331 0.3669  4 Tb 3.27, 4 Dy 3.57
Y 0.0000 0.3669 0.6331  4 Tb 3.27, 4 Dy 3.57
Y 0.0000 0.8405 0.1595  8 Dy 3.67-3.71, 5 Y 3.69-4.01
Y 0.0000 0.1595 0.8405  8 Dy 3.67-3.71, 5 Y 3.69-4.01
Y 0.0000 0.0000 0.0000  8 Dy 3.50, 2 Y 3.69
Y 0.0000 0.7083 0.7083  4 Tb 3.26, 4 Dy 3.61
Y 0.0000 0.2917 0.2917  4 Tb 3.26, 4 Dy 3.61



# 2
Compound: TbDy2Y7
Source: the Alexandria database
Functional: GGA-PBE
Structure: relaxed

Calculated values
uncorrected energy: -5.70 eV/atom
energy of formation: 0.21 eV per atom
space group: Cmmm (65)

Lattice parameters (Å, degrees): 3.4620 15.0212 15.0212 155.18 90.00 90.00
Closest atoms and distances in Å follow each position.
Atoms (fractional coordinates):
Tb 0.0000 0.0000 0.0000  2 Tb 3.46, 12 Y 3.66-3.74
Dy 0.5000 0.7922 0.2078  2 Dy 3.46, 8 Y 3.48-3.70
Dy 0.5000 0.2078 0.7922  2 Dy 3.46, 8 Y 3.48-3.70
Y 0.0000 0.6892 0.3108  6 Y 3.46-3.56, 6 Dy 3.48-3.70
Y 0.0000 0.3108 0.6892  6 Y 3.46-3.56, 6 Dy 3.48-3.70
Y 0.5000 0.1435 0.3428  5 Y 3.14-3.46
Y 0.5000 0.8565 0.6572  5 Y 3.14-3.46
Y 0.5000 0.3428 0.1435  5 Y 3.14-3.46
Y 0.5000 0.6572 0.8565  5 Y 3.14-3.46
Y 0.5000 0.5000 0.5000  6 Y 3.36-3.46, 4 Tb 3.66



# 3
Compound: Tb6DyY12
Source: the Alexandria database
Functional: GGA-PBE
Structure: relaxed

Calculated values
uncorrected energy: -5.64 eV/atom
energy of formation: 0.15 eV per atom
space group: R-3 (148)

Lattice parameters (Å, degrees): 8.5578 8.5578 8.5578 88.07 88.07 88.07
Closest atoms and distances in Å follow each position.
Atoms (fractional coordinates):
Tb 0.7439 0.9081 0.3069  7 Y 3.29-3.69, 1 Dy 3.45, 2 Tb 3.47
Tb 0.6931 0.2561 0.0919  7 Y 3.29-3.69, 1 Dy 3.45, 2 Tb 3.47
Tb 0.0919 0.6931 0.2561  7 Y 3.29-3.69, 1 Dy 3.45, 2 Tb 3.47
Tb 0.2561 0.0919 0.6931  7 Y 3.29-3.69, 1 Dy 3.45, 2 Tb 3.47
Tb 0.3069 0.7439 0.9081  7 Y 3.29-3.69, 1 Dy 3.45, 2 Tb 3.47
Tb 0.9081 0.3069 0.7439  7 Y 3.29-3.69, 1 Dy 3.45, 2 Tb 3.47
Dy 0.0000 0.0000 0.0000  6 Tb 3.45, 6 Y 3.58
Y 0.7764 0.5422 0.4371  3 Tb 3.29-3.45, 6 Y 3.33-3.58
Y 0.4371 0.7764 0.5422  3 Tb 3.29-3.45, 6 Y 3.33-3.58
Y 0.5422 0.4371 0.7764  3 Tb 3.29-3.45, 6 Y 3.33-3.58
Y 0.2236 0.4578 0.5629  3 Tb 3.29-3.45, 6 Y 3.33-3.58
Y 0.5629 0.2236 0.4578  3 Tb 3.29-3.45, 6 Y 3.33-3.58
Y 0.4578 0.5629 0.2236  3 Tb 3.29-3.45, 6 Y 3.33-3.58
Y 0.0114 0.2022 0.3580  4 Y 3.45-3.58, 4 Tb 3.51-3.69, 1 Dy 3.58
Y 0.7978 0.6420 0.9886  4 Y 3.45-3.58, 4 Tb 3.51-3.69, 1 Dy 3.58
Y 0.6420 0.9886 0.7978  4 Y 3.45-3.58, 4 Tb 3.51-3.69, 1 Dy 3.58
Y 0.9886 0.7978 0.6420  4 Y 3.45-3.58, 4 Tb 3.51-3.69, 1 Dy 3.58
Y 0.2022 0.3580 0.0114  4 Y 3.45-3.58, 4 Tb 3.51-3.69, 1 Dy 3.58
Y 0.3580 0.0114 0.2022  4 Y 3.45-3.58, 4 Tb 3.51-3.69, 1 Dy 3.58



# 4
Compound: TbDy4Y10
Source: the Alexandria database
Functional: GGA-PBE
Structure: relaxed

Calculated values
uncorrected energy: -5.11 eV/atom
energy of formation: 0.74 eV per atom
space group: I4/m (87)

Lattice parameters (Å, degrees): 7.6935 9.4279 9.4279 80.42 65.92 65.92
Closest atoms and distances in Å follow each position.
Atoms (fractional coordinates):
Tb 0.0000 0.0000 0.0000  8 Y 3.34
Dy 0.3996 0.8006 0.4001  8 Y 3.33-3.34
Dy 0.7997 0.5999 0.8006  8 Y 3.33-3.34
Dy 0.2003 0.4001 0.1994  8 Y 3.33-3.34
Dy 0.6004 0.1994 0.5999  8 Y 3.33-3.34
Y 0.2500 0.5000 0.5000  4 Dy 3.34
Y 0.6501 0.3001 0.8993  3 Dy 3.33, 1 Tb 3.34
Y 0.0497 0.1007 0.3001  3 Dy 3.33, 1 Tb 3.34
Y 0.4505 0.8993 0.6999  3 Dy 3.33, 1 Tb 3.34
Y 0.8496 0.6999 0.1007  3 Dy 3.33, 1 Tb 3.34
Y 0.3499 0.6999 0.1007  3 Dy 3.33, 1 Tb 3.34
Y 0.7500 0.5000 0.5000  4 Dy 3.34
Y 0.1504 0.3001 0.8993  3 Dy 3.33, 1 Tb 3.34
Y 0.5495 0.1007 0.3001  3 Dy 3.33, 1 Tb 3.34
Y 0.9503 0.8993 0.6999  3 Dy 3.33, 1 Tb 3.34



# 5
Compound: TbDyY6
Source: the Alexandria database
Functional: GGA-PBE
Structure: relaxed

Calculated values
uncorrected energy: -5.79 eV/atom
energy of formation: 0.21 eV per atom
space group: P-1 (2)

Lattice parameters (Å, degrees): 6.5823 6.6494 6.7965 90.08 61.00 90.02
Closest atoms and distances in Å follow each position.
Atoms (fractional coordinates):
Tb 0.0000 0.0000 0.0000  2 Dy 3.32, 6 Y 3.46-3.63
Dy 0.0000 0.5000 0.0000  2 Tb 3.32, 6 Y 3.46-3.63
Y 0.0509 0.7497 0.5313  6 Y 3.31-3.52, 1 Tb 3.46, 1 Dy 3.46
Y 0.5819 0.7499 0.4701  6 Y 3.31-3.52, 1 Dy 3.47, 1 Tb 3.47
Y 0.4181 0.2501 0.5299  6 Y 3.31-3.52, 1 Dy 3.47, 1 Tb 3.47
Y 0.9491 0.2503 0.4687  6 Y 3.31-3.52, 1 Tb 3.46, 1 Dy 3.46
Y 0.4892 0.7498 0.0011  6 Y 3.32-3.52, 1 Dy 3.63, 1 Tb 3.63
Y 0.5108 0.2502 0.9989  6 Y 3.32-3.52, 1 Dy 3.63, 1 Tb 3.63



# 6
Compound: Tb12Dy5Y2
Source: the Alexandria database
Functional: GGA-PBE
Structure: relaxed

Calculated values
uncorrected energy: -4.69 eV/atom
energy of formation: 0.13 eV per atom
space group: C2/m (12)

Lattice parameters (Å, degrees): 9.1919 9.1357 8.5550 90.93 90.00 120.20
Closest atoms and distances in Å follow each position.
Atoms (fractional coordinates):
Tb 0.9092 0.8184 0.1157  3 Dy 3.42-3.56, 5 Tb 3.44-3.62, 2 Y 3.45
Tb 0.0272 0.6911 0.7576  4 Tb 3.34-3.62, 1 Y 3.42, 4 Dy 3.48-3.71
Tb 0.6639 0.6911 0.7576  4 Tb 3.34-3.62, 1 Y 3.42, 4 Dy 3.48-3.71
Tb 0.1806 0.7472 0.3358  4 Dy 3.38-3.72, 5 Tb 3.43-3.55, 1 Y 3.53
Tb 0.5666 0.7472 0.3358  4 Dy 3.38-3.72, 5 Tb 3.43-3.55, 1 Y 3.53
Tb 0.4406 0.8812 0.6629  2 Dy 3.38-3.57, 7 Tb 3.39-3.46, 2 Y 3.43
Tb 0.5594 0.1188 0.3371  2 Dy 3.38-3.57, 7 Tb 3.39-3.46, 2 Y 3.43
Tb 0.8194 0.2528 0.6642  4 Dy 3.38-3.72, 5 Tb 3.43-3.55, 1 Y 3.53
Tb 0.4334 0.2528 0.6642  4 Dy 3.38-3.72, 5 Tb 3.43-3.55, 1 Y 3.53
Tb 0.9728 0.3089 0.2424  4 Tb 3.34-3.62, 1 Y 3.42, 4 Dy 3.48-3.71
Tb 0.3361 0.3089 0.2424  4 Tb 3.34-3.62, 1 Y 3.42, 4 Dy 3.48-3.71
Tb 0.0908 0.1816 0.8843  3 Dy 3.42-3.56, 5 Tb 3.44-3.62, 2 Y 3.45
Dy 0.2316 0.4632 0.5720  10 Tb 3.38-3.77, 2 Dy 3.69-3.70
Dy 0.3010 0.6020 0.9865  8 Tb 3.42-3.64, 2 Y 3.54, 1 Dy 3.69
Dy 0.0000 0.0000 0.5000  10 Tb 3.56-3.72, 2 Dy 3.70
Dy 0.6990 0.3980 0.0135  8 Tb 3.42-3.64, 2 Y 3.54, 1 Dy 3.69
Dy 0.7684 0.5368 0.4280  10 Tb 3.38-3.77, 2 Dy 3.69-3.70
Y 0.6776 0.0000 0.0000  1 Y 3.27, 8 Tb 3.42-3.53, 2 Dy 3.54
Y 0.3224 0.0000 0.0000  1 Y 3.27, 8 Tb 3.42-3.53, 2 Dy 3.54